Density functional theory data (PBE) for a geometry-optimized PuAg3Te3 structure.

**Total magnetization**: 5.00 μB per formula unit
**Energy relative to the elements, uncorrected**: -0.4182 eV/atom
**Calculated volume**: 198 Å³/f.u.
**SG**: R-3, No. 148

Unit cell a=8.6151 b=8.6151 c=8.6151 alpha=54.64 beta=54.64 gamma=54.64
With the nearest neighbours (Å) after each atom.
Fractional coordinates of all 14 atoms:
Pu1 0.1666 0.1666 0.1666  6 Te 3.14
Pu2 0.8334 0.8334 0.8334  6 Te 3.14
Ag1 0.0181 0.7269 0.3741  4 Te 2.80-2.93, 2 Ag 3.10
Ag2 0.2731 0.6259 0.9819  4 Te 2.80-2.93, 2 Ag 3.10
Ag3 0.3741 0.0181 0.7269  4 Te 2.80-2.93, 2 Ag 3.10
Ag4 0.6259 0.9819 0.2731  4 Te 2.80-2.93, 2 Ag 3.10
Ag5 0.7269 0.3741 0.0181  4 Te 2.80-2.93, 2 Ag 3.10
Ag6 0.9819 0.2731 0.6259  4 Te 2.80-2.93, 2 Ag 3.10
Te1 0.1027 0.4263 0.7472  4 Ag 2.80-2.93, 1 Pu 3.14
Te2 0.2528 0.8973 0.5737  4 Ag 2.80-2.93, 1 Pu 3.14
Te3 0.4263 0.7472 0.1027  4 Ag 2.80-2.93, 1 Pu 3.14
Te4 0.5737 0.2528 0.8973  4 Ag 2.80-2.93, 1 Pu 3.14
Te5 0.7472 0.1027 0.4263  4 Ag 2.80-2.93, 1 Pu 3.14
Te6 0.8973 0.5737 0.2528  4 Ag 2.80-2.93, 1 Pu 3.14

=====

Density functional theory data (PBE) for a geometry-optimized Pu2TlAgTe4 structure.

**Total magnetization**: 10.00 μB per formula unit
**Energy relative to the elements, uncorrected**: -0.7189 eV/atom
**Calculated volume**: 264 Å³/f.u.
**SG**: Cmcm, No. 63

Unit cell a=7.8154 b=7.8154 c=15.6892 alpha=90.00 beta=90.00 gamma=146.61
With the nearest neighbours (Å) after each atom.
Fractional coordinates of all 16 atoms:
Pu1 0.1310 0.8690 0.5675  6 Te 3.12-3.16
Pu2 0.1310 0.8690 0.9325  6 Te 3.12-3.16
Pu3 0.8690 0.1310 0.0675  6 Te 3.12-3.16
Pu4 0.8690 0.1310 0.4325  6 Te 3.12-3.16
Tl1 0.3732 0.6268 0.7500  6 Te 3.43-3.53
Tl2 0.6268 0.3732 0.2500  6 Te 3.43-3.53
Ag1 0.3437 0.6563 0.2500  4 Te 2.78-2.81
Ag2 0.6563 0.3437 0.7500  4 Te 2.78-2.81
Te1 0.0466 0.9534 0.7500  2 Ag 2.78
Te2 0.2302 0.7698 0.1074  1 Ag 2.81, 3 Pu 3.12
Te3 0.2302 0.7698 0.3926  1 Ag 2.81, 3 Pu 3.12
Te4 0.5000 0.5000 0.0000  4 Pu 3.16
Te5 0.5000 0.5000 0.5000  4 Pu 3.16
Te6 0.7698 0.2302 0.6074  1 Ag 2.81, 3 Pu 3.12
Te7 0.7698 0.2302 0.8926  1 Ag 2.81, 3 Pu 3.12
Te8 0.9534 0.0466 0.2500  2 Ag 2.78

=====

Density functional theory data (PBE) for a geometry-optimized TmPuAg2Te4 structure.

**Total magnetization**: 5.39 μB per formula unit
**Energy relative to the elements, uncorrected**: -0.5685 eV/atom
**Calculated volume**: 245 Å³/f.u.
**SG**: I222, No. 23

Unit cell a=6.8378 b=6.8378 c=6.8378 alpha=112.78 beta=111.51 gamma=104.25
With the nearest neighbours (Å) after each atom.
Fractional coordinates of all 8 atoms:
Tm1 0.0000 0.0000 0.0000  4 Te 2.96
Pu1 0.5000 0.5000 0.0000  8 Te 3.30-3.62
Ag1 0.1683 0.6683 0.5000  4 Te 2.75-2.93, 1 Ag 2.83
Ag2 0.8317 0.3317 0.5000  4 Te 2.75-2.93, 1 Ag 2.83
Te1 0.0477 0.0394 0.4629  2 Ag 2.75-2.93, 1 Tm 2.96
Te2 0.4235 0.9606 0.0083  2 Ag 2.75-2.93, 1 Tm 2.96
Te3 0.5765 0.5848 0.5371  2 Ag 2.75-2.93, 1 Tm 2.96
Te4 0.9523 0.4152 0.9917  2 Ag 2.75-2.93, 1 Tm 2.96

=====

Density functional theory data (PBE) for a geometry-optimized PuThAg2 structure.

**E_form**: 4.6 kJ/mol of atoms
**Total magnetization**: 6.05 μB per formula unit
**Calculated volume**: 102 Å³/f.u.
**ΔE to the lowest computed polymorph**: 0.04 eV per formula unit
**SG**: P4/mmm, No. 123

Unit cell a=5.5118 b=5.5118 c=3.3518 alpha=90.00 beta=90.00 gamma=90.00
With the nearest neighbours (Å) after each atom.
Fractional coordinates of all 4 atoms:
Pu1 0.0000 0.0000 0.0000  8 Ag 3.23, 2 Pu 3.35
Th1 0.5000 0.5000 0.0000  8 Ag 3.23, 2 Th 3.35
Ag1 0.0000 0.5000 0.5000  4 Th 3.23, 4 Pu 3.23, 2 Ag 3.35
Ag2 0.5000 0.0000 0.5000  4 Th 3.23, 4 Pu 3.23, 2 Ag 3.35

=====

Density functional theory data (PBE) for a geometry-optimized PuTh2Ag structure.

**E_form**: 15.5 kJ/mol of atoms
**Total magnetization**: 5.38 μB per formula unit
**Calculated volume**: 113 Å³/f.u.
**ΔE to the lowest computed polymorph**: 0.67 eV per formula unit
**SG**: R3m, No. 160

Unit cell a=10.6417 b=10.6417 c=10.6417 alpha=19.14 beta=19.14 gamma=19.14
With the nearest neighbours (Å) after each atom.
Fractional coordinates of all 4 atoms:
Pu1 0.0000 0.0000 0.0000  6 Th 3.37-3.42, 6 Pu 3.54
Th1 0.2457 0.2457 0.2457  3 Ag 3.25, 3 Pu 3.42, 6 Th 3.54
Th2 0.4188 0.4188 0.4188  3 Ag 3.22, 3 Pu 3.37, 6 Th 3.54
Ag1 0.8317 0.8317 0.8317  6 Th 3.22-3.25, 6 Ag 3.54

=====

Density functional theory data (PBE) for a geometry-optimized PuThAg2 structure.

**E_form**: 3.6 kJ/mol of atoms
**Total magnetization**: 6.00 μB per formula unit
**Calculated volume**: 99 Å³/f.u.
**ΔE to the lowest computed polymorph**: 0.00 eV per formula unit
**SG**: P4/mmm, No. 123

Unit cell a=3.3361 b=3.3361 c=8.8968 alpha=90.00 beta=90.00 gamma=90.00
With the nearest neighbours (Å) after each atom.
Fractional coordinates of all 4 atoms:
Pu1 0.0000 0.0000 0.0000  8 Ag 3.23, 4 Pu 3.34
Th1 0.0000 0.0000 0.5000  8 Ag 3.26, 4 Th 3.34
Ag1 0.5000 0.5000 0.2475  4 Pu 3.23, 4 Th 3.26, 4 Ag 3.34
Ag2 0.5000 0.5000 0.7525  4 Pu 3.23, 4 Th 3.26, 4 Ag 3.34

=====

Density functional theory data (PBE) for a geometry-optimized PuTh2Ag structure.

**E_form**: 10.5 kJ/mol of atoms
**Total magnetization**: 7.15 μB per formula unit
**Calculated volume**: 106 Å³/f.u.
**ΔE to the lowest computed polymorph**: 0.47 eV per formula unit
**SG**: Fm-3m, No. 225

Unit cell a=5.3198 b=5.3198 c=5.3198 alpha=60.00 beta=60.00 gamma=60.00
With the nearest neighbours (Å) after each atom.
Fractional coordinates of all 4 atoms:
Pu1 0.0000 0.0000 0.0000  8 Th 3.26
Th1 0.2500 0.2500 0.2500  4 Pu 3.26, 4 Ag 3.26
Th2 0.7500 0.7500 0.7500  4 Pu 3.26, 4 Ag 3.26
Ag1 0.5000 0.5000 0.5000  8 Th 3.26

=====

Density functional theory data (PBE) for a geometry-optimized PuThAg4 structure.

**E_form**: 2.9 kJ/mol of atoms
**Total magnetization**: 6.53 μB per formula unit
**Calculated volume**: 134 Å³/f.u.
**SG**: F-43m, No. 216

Unit cell a=5.7419 b=5.7419 c=5.7419 alpha=60.00 beta=60.00 gamma=60.00
With the nearest neighbours (Å) after each atom.
Fractional coordinates of all 6 atoms:
Pu1 0.0000 0.0000 0.0000  12 Ag 3.37, 4 Th 3.52
Th1 0.7500 0.7500 0.7500  12 Ag 3.37, 4 Pu 3.52
Ag1 0.3749 0.3749 0.3749  6 Ag 2.87
Ag2 0.3749 0.3749 0.8753  6 Ag 2.87
Ag3 0.3749 0.8753 0.3749  6 Ag 2.87
Ag4 0.8753 0.3749 0.3749  6 Ag 2.87